A plane-wave DFT calculation with PBE was carried out for a relaxed structure of AlH3O.

Cell lengths 3.433, 3.433, 3.433 Å; angles 90.00, 90.00, 90.00 degrees
Site moments in Bohr magnetons follow the coordinates.
Fractional coordinates of all 5 atoms:
1 H 0.000 0.500 0.000  0.10
2 O 0.500 0.500 0.500  1.27
3 H 0.000 0.000 0.500  0.06
4 H 0.500 0.000 0.000  0.09
5 Al 0.000 0.000 0.000  0.04

DOS at the Fermi energy   1.74 states/eV per cell
Energy relative to the lowest polymorph listed for this composition   0.0 meV/atom
Spin magnetization   2.000 μB per formula unit

A plane-wave DFT calculation with PBE was carried out for a relaxed structure of CaNd2Pb.

Cell lengths 4.880, 4.880, 8.190 Å; angles 72.67, 72.67, 60.00 degrees
Site moments in Bohr magnetons follow the coordinates.
Fractional coordinates of all 4 atoms:
1 Nd 0.270 0.270 0.190  0.06
2 Ca 0.500 0.500 0.499  0.04
3 Pb 0.666 0.666 0.003  0.01
4 Nd 0.064 0.064 0.808  0.06

DOS at the Fermi energy   4.90 states/eV per cell
Energy relative to the lowest polymorph listed for this composition   285.2 meV/atom
Energy relative to the elements   -0.0189 eV per atom
Spin magnetization   0.595 μB per formula unit

A plane-wave DFT calculation with PBE was carried out for a relaxed structure of KTe2Se.

Cell lengths 6.316, 6.316, 6.316 Å; angles 141.61, 118.50, 74.87 degrees
Fractional coordinates of all 4 atoms:
1 Se 0.200 0.700 0.500
2 K 0.488 0.488 0.000
3 Te 0.800 0.300 0.500
4 Te 0.012 0.012 0.000

DOS at the Fermi energy   2.48 states/eV per cell
Raw formation energy   -0.376 eV/atom
Spin magnetization   0.000 μB per formula unit

A plane-wave DFT calculation with PBE was carried out for a relaxed structure of FeCoRu2.

Cell lengths 2.606, 2.606, 8.507 Å; angles 90.00, 90.00, 114.66 degrees
Site moments in Bohr magnetons follow the coordinates.
Fractional coordinates of all 4 atoms:
1 Ru 0.000 0.000 0.000  0.64
2 Ru 0.000 0.000 0.500  0.64
3 Fe 0.500 0.500 0.750  2.63
4 Co 0.500 0.500 0.250  1.67

DOS at the Fermi energy   6.77 states/eV per cell
Energy relative to the lowest polymorph listed for this composition   217.0 meV/atom
Energy relative to the elements   0.3319 eV per atom
Spin magnetization   5.562 μB per formula unit

A plane-wave DFT calculation with PBE was carried out for a relaxed structure of Ac4PaGe5.

Cell lengths 6.325, 7.793, 7.793 Å; angles 80.52, 66.06, 66.06 degrees
Fractional coordinates of all 10 atoms:
1 Ge 0.274 0.820 0.635
2 Ge 0.908 0.365 0.820
3 Ge 0.500 0.000 0.000
4 Ge 0.729 0.180 0.365
5 Ac 0.200 0.208 0.394
6 Ac 0.594 0.606 0.208
7 Ge 0.094 0.635 0.180
8 Pa 0.001 0.000 0.000
9 Ac 0.802 0.792 0.606
10 Ac 0.408 0.394 0.792

DOS at the Fermi energy   14.37 states/eV per cell
Energy relative to the elements   -0.5161 eV per atom
Spin magnetization   0.000 μB per formula unit

A plane-wave DFT calculation with PBE was carried out for a relaxed structure of Pr3Sm2Ho3.

Cell lengths 5.835, 6.088, 8.767 Å; angles 111.20, 109.44, 90.00 degrees
Fractional coordinates of all 8 atoms:
1 Pr 0.635 0.075 0.270
2 Ho 0.130 0.679 0.260
3 Pr 0.500 0.500 0.000
4 Ho 0.870 0.321 0.740
5 Sm 0.250 0.317 0.500
6 Pr 0.365 0.925 0.730
7 Sm 0.750 0.683 0.500
8 Ho 0.000 0.000 0.000

DOS at the Fermi energy   13.08 states/eV per cell
Energy relative to the lowest polymorph listed for this composition   71.6 meV/atom
Energy relative to the elements   0.0911 eV per atom
Spin magnetization   0.000 μB per formula unit

A plane-wave DFT calculation with PBE was carried out for a relaxed structure of AlVW2.

Cell lengths 4.167, 3.828, 3.828 Å; angles 90.00, 90.00, 90.00 degrees
Fractional coordinates of all 4 atoms:
1 W 0.000 0.500 0.000
2 Al 0.500 0.000 0.000
3 W 0.000 0.000 0.500
4 V 0.500 0.500 0.500

DOS at the Fermi energy   2.25 states/eV per cell
Energy relative to the elements   0.0335 eV per atom
Spin magnetization   0.000 μB per formula unit

A plane-wave DFT calculation with PBE was carried out for a relaxed structure of TeAs.

Cell lengths 6.022, 6.022, 8.337 Å; angles 84.61, 84.61, 36.72 degrees
Fractional coordinates of all 6 atoms:
1 As 0.648 0.648 0.318
2 As 0.580 0.580 0.756
3 Te 0.363 0.363 0.672
4 Te 0.971 0.971 0.386
5 As 0.032 0.032 0.958
6 Te 0.240 0.240 0.077

DOS at the Fermi energy   1.65 states/eV per cell
Raw formation energy   0.160 eV/atom
Spin magnetization   0.000 μB per formula unit

A plane-wave DFT calculation with PBE was carried out for a relaxed structure of Pr12Pd3Pb5.

Cell lengths 15.723, 15.723, 15.723 Å; angles 109.47, 109.47, 109.47 degrees
Fractional coordinates of all 80 atoms:
1 Pr 0.603 0.734 0.667
2 Pr 0.631 0.067 0.234
3 Pr 0.667 0.433 0.564
4 Pr 0.933 0.369 0.266
5 Pr 0.564 0.631 0.397
6 Pd 0.250 0.625 0.875
7 Pd 0.250 0.125 0.375
8 Pb 0.500 0.500 0.000
9 Pb 0.000 0.500 0.000
10 Pb 0.250 0.875 0.125
11 Pb 0.875 0.625 0.750
12 Pr 0.333 0.766 0.397
13 Pr 0.067 0.436 0.833
14 Pd 0.875 0.125 0.250
15 Pr 0.936 0.103 0.869
16 Pr 0.266 0.869 0.933
17 Pr 0.833 0.936 0.067
18 Pr 0.333 0.567 0.436
19 Pr 0.167 0.064 0.933
20 Pd 0.125 0.250 0.875
21 Pr 0.667 0.234 0.603
22 Pd 0.125 0.875 0.750
23 Pr 0.433 0.766 0.869
24 Pb 0.125 0.750 0.375
25 Pr 0.631 0.564 0.897
26 Pr 0.897 0.064 0.631
27 Pr 0.131 0.397 0.064
28 Pr 0.833 0.897 0.266
29 Pr 0.369 0.436 0.103
30 Pb 0.625 0.750 0.875
31 Pr 0.766 0.333 0.897
32 Pb 0.125 0.375 0.250
33 Pb 0.500 0.000 0.000
34 Pr 0.103 0.167 0.234
35 Pr 0.897 0.833 0.766
36 Pr 0.234 0.567 0.631
37 Pr 0.436 0.067 0.333
38 Pr 0.266 0.397 0.833
39 Pr 0.734 0.603 0.167
40 Pr 0.167 0.103 0.734
41 Pr 0.564 0.933 0.667
42 Pr 0.936 0.833 0.567
43 Pb 0.375 0.125 0.750
44 Pb 0.000 0.000 0.000
45 Pr 0.436 0.369 0.603
46 Pr 0.734 0.131 0.067
47 Pr 0.064 0.897 0.131
48 Pb 0.250 0.375 0.625
49 Pr 0.234 0.667 0.103
50 Pr 0.603 0.869 0.436
51 Pb 0.000 0.000 0.500
52 Pr 0.131 0.734 0.567
53 Pr 0.397 0.266 0.333
54 Pb 0.000 0.500 0.500
55 Pb 0.875 0.250 0.625
56 Pr 0.397 0.131 0.564
57 Pr 0.433 0.667 0.064
58 Pb 0.500 0.000 0.500
59 Pb 0.375 0.250 0.125
60 Pr 0.567 0.234 0.131
61 Pd 0.375 0.750 0.625
62 Pr 0.766 0.433 0.369
63 Pb 0.750 0.625 0.375
64 Pr 0.103 0.936 0.369
65 Pr 0.369 0.933 0.766
66 Pr 0.067 0.631 0.734
67 Pd 0.750 0.375 0.125
68 Pb 0.750 0.125 0.875
69 Pd 0.625 0.375 0.750
70 Pb 0.500 0.500 0.500
71 Pb 0.625 0.875 0.250
72 Pr 0.933 0.564 0.167
73 Pd 0.625 0.250 0.375
74 Pr 0.567 0.333 0.936
75 Pr 0.064 0.167 0.433
76 Pr 0.869 0.603 0.936
77 Pr 0.869 0.266 0.433
78 Pd 0.875 0.750 0.125
79 Pd 0.750 0.875 0.625
80 Pd 0.375 0.625 0.250

DOS at the Fermi energy   91.02 states/eV per cell
Energy relative to the elements   -0.0059 eV per atom
Spin magnetization   0.000 μB per formula unit

A plane-wave DFT calculation with PBE was carried out for a relaxed structure of UAlSi2.

Cell lengths 4.262, 4.262, 5.136 Å; angles 65.49, 65.49, 60.00 degrees
Site moments in Bohr magnetons follow the coordinates.
Fractional coordinates of all 4 atoms:
1 U 0.500 0.500 0.500  1.04
2 Si 0.721 0.721 0.836  -0.02
3 Al 0.000 0.000 0.000  -0.01
4 Si 0.279 0.279 0.164  -0.02

DOS at the Fermi energy   6.82 states/eV per cell
Raw formation energy   -0.083 eV/atom
Spin magnetization   1.000 μB per formula unit

A plane-wave DFT calculation with PBE was carried out for a relaxed structure of HgMoAu3.

Cell lengths 5.165, 5.165, 5.165 Å; angles 90.00, 90.00, 90.00 degrees
Site moments in Bohr magnetons follow the coordinates.
Fractional coordinates of all 5 atoms:
1 Au 0.500 0.000 0.000  -0.01
2 Au 0.000 0.000 0.500  -0.03
3 Au 0.000 0.500 0.000  -0.04
4 Hg 0.000 0.000 0.000  -0.01
5 Mo 0.500 0.500 0.500  3.75

DOS at the Fermi energy   2.03 states/eV per cell
Energy relative to the lowest polymorph listed for this composition   266.1 meV/atom
Energy relative to the elements   1.3238 eV per atom
Spin magnetization   4.512 μB per formula unit

A plane-wave DFT calculation with PBE was carried out for a relaxed structure of Ba2SiSb.

Cell lengths 5.908, 5.908, 4.089 Å; angles 90.00, 90.00, 103.76 degrees
Fractional coordinates of all 4 atoms:
1 Ba 0.000 0.000 0.000
2 Si 0.000 0.500 0.500
3 Ba 0.500 0.500 0.000
4 Sb 0.500 0.000 0.500

DOS at the Fermi energy   1.76 states/eV per cell
Raw formation energy   -0.420 eV/atom
Energy relative to the lowest polymorph listed for this composition   160.1 meV/atom
Spin magnetization   0.000 μB per formula unit

A plane-wave DFT calculation with PBE was carried out for a relaxed structure of ReGe4.

Cell lengths 4.860, 4.860, 4.860 Å; angles 90.00, 90.00, 90.00 degrees
Site moments in Bohr magnetons follow the coordinates.
Fractional coordinates of all 5 atoms:
1 Re 0.500 0.500 0.500  0.38
2 Ge 0.500 0.500 0.000  0.00
3 Ge 0.000 0.000 0.000  0.23
4 Ge 0.000 0.500 0.500  0.00
5 Ge 0.500 0.000 0.500  0.00

DOS at the Fermi energy   5.81 states/eV per cell
Energy relative to the elements   0.5988 eV per atom
Spin magnetization   0.986 μB per formula unit

A plane-wave DFT calculation with PBE was carried out for a relaxed structure of HoSN4.

Cell lengths 6.673, 6.673, 6.436 Å; angles 82.47, 82.47, 130.74 degrees
Fractional coordinates of all 12 atoms:
1 N 0.301 0.231 0.402
2 Ho 0.062 0.938 0.750
3 N 0.043 0.581 0.545
4 N 0.769 0.699 0.098
5 N 0.957 0.419 0.455
6 S 0.469 0.531 0.250
7 S 0.531 0.469 0.750
8 N 0.419 0.957 0.955
9 Ho 0.938 0.062 0.250
10 N 0.231 0.301 0.902
11 N 0.581 0.043 0.045
12 N 0.699 0.769 0.598

DOS at the Fermi energy   2.13 states/eV per cell
Raw formation energy   -0.264 eV/atom
Spin magnetization   0.000 μB per formula unit

A plane-wave DFT calculation with PBE was carried out for a relaxed structure of Be2Cu2Re.

Cell lengths 6.500, 6.500, 2.556 Å; angles 90.00, 90.00, 90.00 degrees
Fractional coordinates of all 10 atoms:
1 Be 0.865 0.635 0.000
2 Be 0.135 0.365 0.000
3 Cu 0.840 0.340 0.500
4 Cu 0.340 0.160 0.500
5 Re 0.000 0.000 0.000
6 Cu 0.660 0.840 0.500
7 Cu 0.160 0.660 0.500
8 Be 0.635 0.135 0.000
9 Be 0.365 0.865 0.000
10 Re 0.500 0.500 0.000

DOS at the Fermi energy   3.88 states/eV per cell
Energy relative to the lowest polymorph listed for this composition   0.0 meV/atom
Energy relative to the elements   0.0348 eV per atom
Spin magnetization   0.000 μB per formula unit

A plane-wave DFT calculation with PBE was carried out for a relaxed structure of BaIn2TeO8.

Cell lengths 4.810, 4.864, 7.878 Å; angles 86.67, 90.46, 88.77 degrees
Fractional coordinates of all 12 atoms:
1 O 0.515 0.636 0.540
2 O 0.708 0.726 0.005
3 O 0.178 0.815 0.814
4 O 0.817 0.202 0.802
5 Te 0.000 0.000 0.000
6 O 0.183 0.798 0.198
7 Ba 0.000 0.000 0.500
8 In 0.512 0.520 0.807
9 O 0.292 0.274 0.995
10 In 0.488 0.480 0.193
11 O 0.822 0.185 0.186
12 O 0.485 0.364 0.460

Raw formation energy   -1.368 eV/atom
Spin magnetization   0.000 μB per formula unit

A plane-wave DFT calculation with PBE was carried out for a relaxed structure of CuTeI4.

Cell lengths 4.983, 7.105, 6.957 Å; angles 91.44, 90.00, 90.00 degrees
Fractional coordinates of all 6 atoms:
1 Cu 0.500 0.000 0.500
2 I 0.000 0.265 0.328
3 Te 0.000 0.000 0.000
4 I 0.500 0.204 0.795
5 I 0.000 0.735 0.672
6 I 0.500 0.796 0.205

DOS at the Fermi energy   2.43 states/eV per cell
Raw formation energy   0.022 eV/atom
Energy relative to the lowest polymorph listed for this composition   65.6 meV/atom
Spin magnetization   0.000 μB per formula unit

A plane-wave DFT calculation with PBE was carried out for a relaxed structure of YCrCdTe2.

Cell lengths 5.166, 5.276, 5.166 Å; angles 90.00, 90.00, 90.00 degrees
Site moments in Bohr magnetons follow the coordinates.
Fractional coordinates of all 5 atoms:
1 Cd 0.500 0.500 0.500  0.00
2 Te 0.500 0.000 0.000  -0.01
3 Y 0.000 0.500 0.000  -0.06
4 Te 0.000 0.000 0.500  -0.02
5 Cr 0.000 0.000 0.000  2.06

DOS at the Fermi energy   4.26 states/eV per cell
Raw formation energy   0.123 eV/atom
Spin magnetization   2.174 μB per formula unit

A plane-wave DFT calculation with PBE was carried out for a relaxed structure of PmTmCdAu.

Cell lengths 5.219, 5.219, 5.219 Å; angles 60.00, 60.00, 60.00 degrees
Fractional coordinates of all 4 atoms:
1 Au 0.250 0.250 0.250
2 Tm 0.000 0.000 0.000
3 Cd 0.750 0.750 0.750
4 Pm 0.500 0.500 0.500

DOS at the Fermi energy   3.75 states/eV per cell
Energy relative to the lowest polymorph listed for this composition   37.3 meV/atom
Energy relative to the elements   -0.5381 eV per atom
Spin magnetization   0.000 μB per formula unit

A plane-wave DFT calculation with PBE was carried out for a relaxed structure of ZrReRu2.

Cell lengths 2.915, 2.915, 7.579 Å; angles 90.00, 90.00, 90.00 degrees
Fractional coordinates of all 4 atoms:
1 Ru 0.000 0.000 0.972
2 Re 0.500 0.500 0.750
3 Zr 0.500 0.500 0.250
4 Ru 0.000 0.000 0.528

DOS at the Fermi energy   3.81 states/eV per cell
Energy relative to the lowest polymorph listed for this composition   0.0 meV/atom
Energy relative to the elements   -0.0801 eV per atom
Spin magnetization   0.000 μB per formula unit

A plane-wave DFT calculation with PBE was carried out for a relaxed structure of NaY2Pt9.

Cell lengths 5.432, 5.432, 9.316 Å; angles 73.05, 73.05, 60.00 degrees
Fractional coordinates of all 12 atoms:
1 Pt 0.500 0.500 0.500
2 Pt 0.668 0.668 0.997
3 Pt 0.080 0.587 0.745
4 Pt 0.587 0.587 0.745
5 Y 0.137 0.137 0.589
6 Y 0.863 0.863 0.411
7 Pt 0.332 0.332 0.003
8 Pt 0.413 0.413 0.255
9 Pt 0.587 0.080 0.745
10 Pt 0.413 0.920 0.255
11 Pt 0.920 0.413 0.255
12 Na 0.000 0.000 0.000

DOS at the Fermi energy   9.46 states/eV per cell
Energy relative to the elements   -0.7079 eV per atom
Spin magnetization   0.000 μB per formula unit

A plane-wave DFT calculation with PBE was carried out for a relaxed structure of RbBiS2.

Cell lengths 7.689, 7.689, 7.479 Å; angles 59.06, 59.06, 90.00 degrees
Fractional coordinates of all 8 atoms:
1 S 0.375 0.309 0.750
2 S 0.059 0.625 0.250
3 S 0.875 0.941 0.750
4 S 0.691 0.125 0.250
5 Rb 0.500 0.500 0.000
6 Bi 0.750 0.250 0.500
7 Bi 0.000 0.000 0.000
8 Rb 0.250 0.750 0.500

DOS at the Fermi energy   0.00 states/eV per cell
Raw formation energy   -0.634 eV/atom
Spin magnetization   0.000 μB per formula unit

A plane-wave DFT calculation with PBE was carried out for a relaxed structure of Pm2ErGe.

Cell lengths 3.650, 3.650, 11.194 Å; angles 80.62, 80.62, 60.00 degrees
Site moments in Bohr magnetons follow the coordinates.
Fractional coordinates of all 4 atoms:
1 Er 0.000 0.000 0.000  0.15
2 Ge 0.500 0.500 0.500  0.00
3 Pm 0.104 0.104 0.688  0.02
4 Pm 0.896 0.896 0.312  0.02

DOS at the Fermi energy   6.28 states/eV per cell
Energy relative to the lowest polymorph listed for this composition   330.9 meV/atom
Energy relative to the elements   0.0010 eV per atom
Spin magnetization   0.342 μB per formula unit